No. 1
# Ce2YAg2Sn2 | Alexandria via LeMat-Bulk | PBE | optimized geometry
# * theoretical density: 7.86 Mg/m³
data_Ce2YAg2Sn2
_chemical_formula_sum 'Ce6 Y3 Ag6 Sn6'
_space_group_name_H-M_alt 'R -3 m'
_space_group_IT_number 166
_space_group_name_Hall '-R 3 2"'
_cell_length_a 4.7138
_cell_length_b 4.7138
_cell_length_c 27.0927
_cell_angle_alpha 90.00
_cell_angle_beta 90.00
_cell_angle_gamma 120.00
loop_
_atom_site_label
_atom_site_fract_x
_atom_site_fract_y
_atom_site_fract_z
Ce1 0.0000 0.0000 0.1432
Y1 0.0000 0.0000 0.0000
Ag1 0.0000 0.0000 0.4182
Sn1 0.0000 0.0000 0.2686

No. 2
# V2CoB2 | Alexandria via LeMat-Bulk | PBE | optimized geometry
# * offset from the most stable computed form: 0.007 eV per atom
# * theoretical density: 6.47 Mg/m³
data_V2CoB2
_chemical_formula_sum 'V4 Co2 B4'
_space_group_name_H-M_alt 'P 4/m b m'
_space_group_IT_number 127
_space_group_name_Hall '-P 4 2ab'
_cell_length_a 5.483
_cell_length_b 5.483
_cell_length_c 3.117
_cell_angle_alpha 90.00
_cell_angle_beta 90.00
_cell_angle_gamma 90.00
loop_
_atom_site_label
_atom_site_fract_x
_atom_site_fract_y
_atom_site_fract_z
V1 0.177 0.323 0.000
Co1 0.000 0.000 0.500
B1 0.115 0.615 0.500

No. 3
# CaDyYCd | Alexandria via LeMat-Bulk | PBE | optimized geometry
# * theoretical density: 5.67 Mg/m³
data_CaDyYCd
_chemical_formula_sum 'Ca4 Dy4 Y4 Cd4'
_space_group_name_H-M_alt 'F -4 3 m'
_space_group_IT_number 216
_space_group_name_Hall 'F -4 2 3'
_cell_length_a 7.794
_cell_length_b 7.794
_cell_length_c 7.794
_cell_angle_alpha 90.00
_cell_angle_beta 90.00
_cell_angle_gamma 90.00
loop_
_atom_site_label
_atom_site_fract_x
_atom_site_fract_y
_atom_site_fract_z
Ca1 0.000 0.000 0.000
Dy1 0.250 0.250 0.750
Y1 0.250 0.250 0.250
Cd1 0.000 0.000 0.500

No. 4
# PuTi2Nb | Alexandria via LeMat-Bulk | PBE | optimized geometry
# * offset from the most stable computed form: 0.027 eV per atom
# * theoretical density: 9.63 Mg/m³
data_PuTi2Nb
_chemical_formula_sum 'Pu4 Ti8 Nb4'
_space_group_name_H-M_alt 'F m -3 m'
_space_group_IT_number 225
_space_group_name_Hall '-F 4 2 3'
_cell_length_a 6.682
_cell_length_b 6.682
_cell_length_c 6.682
_cell_angle_alpha 90.00
_cell_angle_beta 90.00
_cell_angle_gamma 90.00
loop_
_atom_site_label
_atom_site_fract_x
_atom_site_fract_y
_atom_site_fract_z
Pu1 0.000 0.000 0.000
Ti1 0.250 0.250 0.250
Nb1 0.000 0.000 0.500

| no. | energy relative to the elements (eV/atom) | M_tot (μB per atom) |
| --- | --- | --- |
| 1 | -0.3601 | 0.339 |
| 2 | -0.6302 | 0.332 |
| 3 | -0.0146 | 0.000 |
| 4 | 0.1407 | 1.374 |